Material: DyYHo6
Method: DFT, GGA-PBE
State: optimized geometry

Properties
Formation energy, eV/atom: 0.2120
Space-group type: C2/m (12)
Density, g/cm³: 8.117
D(E_F), states/eV/f.u.: 13.1
Energy above the lowest structure with this stoichiometry, meV/atom: 193
M_tot, Bohr magnetons per cell: 0.0

abc: 6.5705 6.5705 6.7956
angles: 90.00 90.00 120.07
Fractional positions:
Dy (0.0000, 0.0000, 0.0000)
Y (0.0000, 0.0000, 0.5000)
Ho (0.0015, 0.5417, 0.2495)
Ho (0.4583, 0.9985, 0.7505)
Ho (0.4604, 0.4604, 0.2496)
Ho (0.5396, 0.5396, 0.7504)
Ho (0.5417, 0.0015, 0.2495)
Ho (0.9985, 0.4583, 0.7505)

---

Material: DyY5Ho4
Method: DFT, GGA-PBE
State: optimized geometry

Properties
Formation energy, eV/atom: 0.3100
Space-group type: I4 (79)
Density, g/cm³: 6.435
D(E_F), states/eV/f.u.: 15.7
M_tot, Bohr magnetons per cell: 0.0

abc: 7.8668 7.8668 7.8668
angles: 99.18 99.18 132.91
Fractional positions:
Dy (0.0000, 0.0000, 0.0000)
Y (0.0345, 0.1217, 0.6200)
Y (0.1217, 0.5017, 0.0872)
Y (0.4145, 0.0345, 0.9128)
Y (0.5017, 0.4145, 0.3800)
Y (0.5423, 0.5423, 0.0000)
Ho (0.1183, 0.8184, 0.3981)
Ho (0.4202, 0.7202, 0.6019)
Ho (0.7202, 0.1183, 0.3000)
Ho (0.8184, 0.4202, 0.7000)

---

Material: DyYHo4
Method: DFT, GGA-PBE
State: optimized geometry

Properties
Formation energy, eV/atom: 0.0219
Space-group type: P-1 (2)
Density, g/cm³: 8.070
D(E_F), states/eV/f.u.: 8.6
Energy above the lowest structure with this stoichiometry, meV/atom: 0
M_tot, Bohr magnetons per cell: 0.0

abc: 3.5296 6.1296 9.3561
angles: 77.23 79.24 73.35
Fractional positions:
Dy (0.0000, 0.0000, 0.0000)
Y (0.0000, 0.5000, 0.5000)
Ho (0.3328, 0.0018, 0.3328)
Ho (0.3332, 0.4993, 0.8343)
Ho (0.6668, 0.5007, 0.1657)
Ho (0.6672, 0.9982, 0.6672)

---

Material: Dy4Y5Ho2
Method: DFT, GGA-PBE
State: optimized geometry

Properties
Formation energy, eV/atom: 0.1394
Space-group type: C2/m (12)
Density, g/cm³: 6.622
D(E_F), states/eV/f.u.: 18.7
Energy above the lowest structure with this stoichiometry, meV/atom: 118
M_tot, Bohr magnetons per cell: 0.0

abc: 6.6338 6.6338 9.1430
angles: 103.83 103.83 68.00
Fractional positions:
Dy (0.1706, 0.1706, 0.1222)
Dy (0.1802, 0.1802, 0.4988)
Dy (0.8198, 0.8198, 0.5012)
Dy (0.8294, 0.8294, 0.8778)
Y (0.1518, 0.7097, 0.2188)
Y (0.2903, 0.8482, 0.7812)
Y (0.5000, 0.5000, 0.5000)
Y (0.7097, 0.1518, 0.2188)
Y (0.8482, 0.2903, 0.7812)
Ho (0.3549, 0.3549, 0.8781)
Ho (0.6451, 0.6451, 0.1219)

---

Material: Dy3YHo
Method: DFT, GGA-PBE
State: optimized geometry

Properties
Formation energy, eV/atom: 0.3166
Space-group type: P2_1/m (11)
Density, g/cm³: 7.138
D(E_F), states/eV/f.u.: 9.1
Energy above the lowest structure with this stoichiometry, meV/atom: 310
M_tot, Bohr magnetons per cell: 0.0

abc: 3.6013 11.5081 8.5143
angles: 90.00 102.18 90.00
Fractional positions:
Dy (0.1529, 0.0002, 0.3056)
Dy (0.1529, 0.4998, 0.3056)
Dy (0.3250, 0.2500, 0.6492)
Dy (0.6750, 0.7500, 0.3508)
Dy (0.8471, 0.9998, 0.6944)
Dy (0.8471, 0.5002, 0.6944)
Y (0.0018, 0.7500, 0.0070)
Y (0.9982, 0.2500, 0.9930)
Ho (0.3330, 0.7500, 0.6673)
Ho (0.6670, 0.2500, 0.3327)

---

Material: Dy4Y8Ho3
Method: DFT, GGA-PBE
State: optimized geometry

Properties
Formation energy, eV/atom: 0.4010
Space-group type: C2/m (12)
Density, g/cm³: 6.179
D(E_F), states/eV/f.u.: 30.9
Energy above the lowest structure with this stoichiometry, meV/atom: 248
M_tot, Bohr magnetons per cell: 0.3

abc: 9.2634 9.2634 6.7320
angles: 111.30 111.30 87.49
Fractional positions:
Dy (0.0000, 0.0000, 0.0000)
Dy (0.0000, 0.0000, 0.5000)
Dy (0.0000, 0.5000, 0.0000)
Dy (0.5000, 0.0000, 0.0000)
Y (0.2511, 0.7489, 0.5000)
Y (0.2665, 0.2665, 0.0065)
Y (0.2660, 0.2660, 0.5265)
Y (0.3574, 0.6426, 0.0000)
Y (0.6426, 0.3574, 0.0000)
Y (0.7340, 0.7340, 0.4735)
Y (0.7335, 0.7335, 0.9935)
Y (0.7489, 0.2511, 0.5000)
Ho (0.0000, 0.5000, 0.5000)
Ho (0.5000, 0.0000, 0.5000)
Ho (0.5000, 0.5000, 0.5000)

---

Material: Dy2Y3Ho6
Method: DFT, GGA-PBE
State: optimized geometry

Properties
Formation energy, eV/atom: 0.2784
Space-group type: I4/mmm (139)
Density, g/cm³: 7.166
D(E_F), states/eV/f.u.: 17.4
M_tot, Bohr magnetons per cell: 0.0

abc: 16.8307 16.8307 16.8307
angles: 163.90 163.90 22.84
Fractional positions:
Dy (0.0460, 0.0460, 0.0000)
Dy (0.9540, 0.9540, 0.0000)
Y (0.2979, 0.2979, 0.0000)
Y (0.5000, 0.5000, 0.0000)
Y (0.7021, 0.7021, 0.0000)
Ho (0.1206, 0.6206, 0.5000)
Ho (0.1935, 0.1935, 0.0000)
Ho (0.3794, 0.8794, 0.5000)
Ho (0.6206, 0.1206, 0.5000)
Ho (0.8065, 0.8065, 0.0000)
Ho (0.8794, 0.3794, 0.5000)

---

Material: Dy7Y4Ho
Method: DFT, GGA-PBE
State: optimized geometry

Properties
Formation energy, eV/atom: 0.0007
Space-group type: P-1 (2)
Density, g/cm³: 7.227
D(E_F), states/eV/f.u.: 16.4
Energy above the lowest structure with this stoichiometry, meV/atom: 0
M_tot, Bohr magnetons per cell: 0.0

abc: 6.2051 7.1607 8.8221
angles: 89.96 76.37 89.88
Fractional positions:
Dy (0.0000, 0.0000, 0.0000)
Dy (0.2206, 0.5003, 0.3335)
Dy (0.2771, 0.2508, 0.6671)
Dy (0.4991, 0.2505, 0.9991)
Dy (0.5009, 0.7495, 0.0009)
Dy (0.7229, 0.7492, 0.3329)
Dy (0.7794, 0.4997, 0.6665)
Y (0.2221, 0.0003, 0.3335)
Y (0.2799, 0.7488, 0.6663)
Y (0.7201, 0.2512, 0.3337)
Y (0.7779, 0.9997, 0.6665)
Ho (0.0000, 0.5000, 0.0000)

---

Material: DyY3Ho7
Method: DFT, GGA-PBE
State: optimized geometry

Properties
Formation energy, eV/atom: 0.2778
Space-group type: C2/m (12)
Density, g/cm³: 7.339
D(E_F), states/eV/f.u.: 16.7
Energy above the lowest structure with this stoichiometry, meV/atom: 121
M_tot, Bohr magnetons per cell: 0.4

abc: 8.3917 8.3917 5.7657
angles: 110.04 110.04 82.93
Fractional positions:
Dy (0.0000, 0.0000, 0.0000)
Y (0.2932, 0.7068, 0.5000)
Y (0.5000, 0.5000, 0.0000)
Y (0.7068, 0.2932, 0.5000)
Ho (0.0000, 0.0000, 0.5000)
Ho (0.0989, 0.4987, 0.7990)
Ho (0.2904, 0.2904, 0.2915)
Ho (0.4987, 0.0989, 0.7990)
Ho (0.5013, 0.9011, 0.2010)
Ho (0.7096, 0.7096, 0.7085)
Ho (0.9011, 0.5013, 0.2010)

---

Material: Dy4Y2Ho5
Method: DFT, GGA-PBE
State: optimized geometry

Properties
Formation energy, eV/atom: 0.1707
Space-group type: C2/m (12)
Density, g/cm³: 7.750
D(E_F), states/eV/f.u.: 17.5
Energy above the lowest structure with this stoichiometry, meV/atom: 151
M_tot, Bohr magnetons per cell: 0.0

abc: 8.8620 8.8620 6.6150
angles: 99.47 99.47 43.83
Fractional positions:
Dy (0.0885, 0.0885, 0.4035)
Dy (0.2551, 0.2551, 0.1851)
Dy (0.7449, 0.7449, 0.8149)
Dy (0.9115, 0.9115, 0.5965)
Y (0.2994, 0.2994, 0.6969)
Y (0.7006, 0.7006, 0.3031)
Ho (0.1506, 0.6737, 0.0975)
Ho (0.3263, 0.8494, 0.9025)
Ho (0.5000, 0.5000, 0.5000)
Ho (0.6737, 0.1506, 0.0975)
Ho (0.8494, 0.3263, 0.9025)

---

Material: Dy3YHo12
Method: DFT, GGA-PBE
State: optimized geometry

Properties
Formation energy, eV/atom: 0.0201
Space-group type: P4/mmm (123)
Density, g/cm³: 8.518
D(E_F), states/eV/f.u.: 20.7
M_tot, Bohr magnetons per cell: 0.0

abc: 4.9951 4.9951 19.9672
angles: 90.00 90.00 90.00
Fractional positions:
Dy (0.0000, 0.0000, 0.0000)
Dy (0.0000, 0.0000, 0.2496)
Dy (0.0000, 0.0000, 0.7504)
Y (0.0000, 0.0000, 0.5000)
Ho (0.0000, 0.5000, 0.1248)
Ho (0.0000, 0.5000, 0.3744)
Ho (0.0000, 0.5000, 0.6256)
Ho (0.0000, 0.5000, 0.8752)
Ho (0.5000, 0.0000, 0.1248)
Ho (0.5000, 0.0000, 0.3744)
Ho (0.5000, 0.0000, 0.6256)
Ho (0.5000, 0.0000, 0.8752)
Ho (0.5000, 0.5000, 0.0000)
Ho (0.5000, 0.5000, 0.2497)
Ho (0.5000, 0.5000, 0.5000)
Ho (0.5000, 0.5000, 0.7503)

---

Material: Dy3Y4Ho5
Method: DFT, GGA-PBE
State: optimized geometry

Properties
Formation energy, eV/atom: 0.0220
Space-group type: P-1 (2)
Density, g/cm³: 7.334
D(E_F), states/eV/f.u.: 16.4
Energy above the lowest structure with this stoichiometry, meV/atom: 0
M_tot, Bohr magnetons per cell: 0.0

abc: 6.1352 7.0951 8.6743
angles: 90.00 90.04 90.11
Fractional positions:
Dy (0.0000, 0.0000, 0.0000)
Dy (0.1675, 0.7509, 0.6676)
Dy (0.8325, 0.2491, 0.3324)
Y (0.1665, 0.2491, 0.6670)
Y (0.3324, 0.4998, 0.3324)
Y (0.6676, 0.5002, 0.6676)
Y (0.8335, 0.7509, 0.3330)
Ho (0.0000, 0.5000, 0.0000)
Ho (0.3338, 0.0005, 0.3329)
Ho (0.4989, 0.7506, 0.9994)
Ho (0.5011, 0.2494, 0.0006)
Ho (0.6662, 0.9995, 0.6671)

---

Material: Dy3Y3Ho4
Method: DFT, GGA-PBE
State: optimized geometry

Properties
Formation energy, eV/atom: 0.0920
Space-group type: Amm2 (38)
Density, g/cm³: 7.332
D(E_F), states/eV/f.u.: 8.9
M_tot, Bohr magnetons per cell: 0.0

abc: 3.7113 9.2891 9.2891
angles: 90.04 90.00 90.00
Fractional positions:
Dy (0.0000, 0.0000, 0.0000)
Dy (0.5000, 0.1720, 0.6713)
Dy (0.5000, 0.6713, 0.1720)
Y (0.0000, 0.3435, 0.3435)
Y (0.0000, 0.4999, 0.8440)
Y (0.0000, 0.8440, 0.4999)
Ho (0.5000, 0.0446, 0.2969)
Ho (0.5000, 0.2969, 0.0446)
Ho (0.5000, 0.5457, 0.5457)
Ho (0.5000, 0.7990, 0.7990)

---

Material: DyY12Ho2
Method: DFT, GGA-PBE
State: optimized geometry

Properties
Formation energy, eV/atom: 0.0873
Space-group type: Cm (8)
Density, g/cm³: 5.304
D(E_F), states/eV/f.u.: 27.4
M_tot, Bohr magnetons per cell: 0.0

abc: 6.5000 6.5000 25.9114
angles: 93.48 93.48 116.15
Fractional positions:
Dy (0.0000, 0.0000, 0.0000)
Dy (0.4999, 0.4999, 0.0011)
Y (0.0261, 0.5284, 0.0629)
Y (0.0564, 0.0564, 0.1242)
Y (0.1346, 0.1346, 0.3512)
Y (0.1808, 0.8331, 0.4471)
Y (0.1968, 0.1968, 0.8801)
Y (0.2195, 0.7169, 0.9263)
Y (0.2348, 0.2348, 0.5505)
Y (0.2931, 0.9361, 0.6654)
Y (0.3307, 0.8382, 0.1959)
Y (0.4184, 0.9101, 0.8011)
Y (0.4770, 0.8451, 0.3330)
Y (0.5284, 0.0261, 0.0629)
Y (0.5317, 0.5317, 0.4433)
Y (0.5525, 0.5525, 0.1246)
Y (0.5759, 0.9152, 0.5536)
Y (0.5940, 0.5940, 0.6498)
Y (0.6991, 0.6991, 0.8796)
Y (0.7169, 0.2195, 0.9263)
Y (0.8331, 0.1808, 0.4471)
Y (0.8382, 0.3307, 0.1959)
Y (0.8451, 0.4770, 0.3330)
Y (0.9101, 0.4184, 0.8011)
Y (0.9152, 0.5759, 0.5536)
Y (0.9361, 0.2931, 0.6654)
Ho (0.3648, 0.3648, 0.2445)
Ho (0.3880, 0.3880, 0.7591)
Ho (0.8490, 0.8490, 0.2392)
Ho (0.9063, 0.9063, 0.7577)

---

Material: Dy2YHo5
Method: DFT, GGA-PBE
State: optimized geometry

Properties
Formation energy, eV/atom: 0.0175
Space-group type: Pbam (55)
Density, g/cm³: 8.237
D(E_F), states/eV/f.u.: 9.3
M_tot, Bohr magnetons per cell: 0.0

abc: 7.0712 14.1426 4.9937
angles: 90.00 90.00 90.00
Fractional positions:
Dy (0.2503, 0.1254, 0.0000)
Dy (0.2497, 0.6254, 0.0000)
Dy (0.7503, 0.3746, 0.0000)
Dy (0.7497, 0.8746, 0.0000)
Y (0.0000, 0.0000, 0.5000)
Y (0.5000, 0.5000, 0.5000)
Ho (0.9996, 0.2507, 0.5000)
Ho (0.0000, 0.5000, 0.5000)
Ho (0.0004, 0.7493, 0.5000)
Ho (0.2491, 0.3747, 0.0000)
Ho (0.2509, 0.8747, 0.0000)
Ho (0.5000, 0.0000, 0.5000)
Ho (0.4996, 0.2493, 0.5000)
Ho (0.5004, 0.7507, 0.5000)
Ho (0.7491, 0.1253, 0.0000)
Ho (0.7509, 0.6253, 0.0000)

---

Material: Dy4Y2Ho3
Method: DFT, GGA-PBE
State: optimized geometry

Properties
Formation energy, eV/atom: 0.0994
Space-group type: C2/c (15)
Density, g/cm³: 7.748
D(E_F), states/eV/f.u.: 13.6
M_tot, Bohr magnetons per cell: 0.0

abc: 9.9233 9.9233 6.1159
angles: 94.79 94.79 71.16
Fractional positions:
Dy (0.0950, 0.8128, 0.9866)
Dy (0.1426, 0.4299, 0.1546)
Dy (0.1872, 0.9050, 0.5134)
Dy (0.4299, 0.1426, 0.6546)
Dy (0.5701, 0.8574, 0.3454)
Dy (0.8128, 0.0950, 0.4866)
Dy (0.8574, 0.5701, 0.8454)
Dy (0.9050, 0.1872, 0.0134)
Y (0.2386, 0.5197, 0.6810)
Y (0.4803, 0.7614, 0.8190)
Y (0.5197, 0.2386, 0.1810)
Y (0.7614, 0.4803, 0.3190)
Ho (0.0707, 0.2623, 0.5840)
Ho (0.2623, 0.0707, 0.0840)
Ho (0.4013, 0.5987, 0.2500)
Ho (0.5987, 0.4013, 0.7500)
Ho (0.7377, 0.9293, 0.9160)
Ho (0.9293, 0.7377, 0.4160)

---

Material: DyY2Ho2
Method: DFT, GGA-PBE
State: optimized geometry

Properties
Formation energy, eV/atom: 0.0100
Space-group type: P2_1/c (14)
Density, g/cm³: 7.042
D(E_F), states/eV/f.u.: 7.2
Energy above the lowest structure with this stoichiometry, meV/atom: 0
M_tot, Bohr magnetons per cell: 0.0

abc: 14.5309 7.1234 6.1682
angles: 90.00 98.11 90.00
Fractional positions:
Dy (0.1989, 0.1249, 0.1489)
Dy (0.1989, 0.3751, 0.6489)
Dy (0.8011, 0.6249, 0.3511)
Dy (0.8011, 0.8751, 0.8511)
Y (0.1992, 0.6251, 0.1466)
Y (0.1992, 0.8749, 0.6466)
Y (0.3988, 0.1249, 0.8828)
Y (0.3988, 0.3751, 0.3828)
Y (0.6012, 0.6249, 0.6172)
Y (0.6012, 0.8751, 0.1172)
Y (0.8008, 0.1251, 0.3534)
Y (0.8008, 0.3749, 0.8534)
Ho (0.0005, 0.1250, 0.7513)
Ho (0.0005, 0.3750, 0.2513)
Ho (0.3991, 0.6251, 0.8826)
Ho (0.3991, 0.8749, 0.3826)
Ho (0.6009, 0.1251, 0.6174)
Ho (0.6009, 0.3749, 0.1174)
Ho (0.9995, 0.6250, 0.7487)
Ho (0.9995, 0.8750, 0.2487)

---

Material: DyY2Ho
Method: DFT, GGA-PBE
State: optimized geometry

Properties
Formation energy, eV/atom: 0.1377
Space-group type: Fm-3m (225)
Density, g/cm³: 6.494
D(E_F), states/eV/f.u.: 10.6
Energy above the lowest structure with this stoichiometry, meV/atom: 133
M_tot, Bohr magnetons per cell: 0.5

abc: 5.6743 5.6743 5.6743
angles: 60.00 60.00 60.00
Fractional positions:
Dy (0.0000, 0.0000, 0.0000)
Y (0.2500, 0.2500, 0.2500)
Y (0.7500, 0.7500, 0.7500)
Ho (0.5000, 0.5000, 0.5000)

---

Material: Dy3Y5Ho3
Method: DFT, GGA-PBE
State: optimized geometry

Properties
Formation energy, eV/atom: 0.8248
Space-group type: P-62m (189)
Density, g/cm³: 5.358
D(E_F), states/eV/f.u.: 16.2
M_tot, Bohr magnetons per cell: 0.0

abc: 9.6522 9.6522 5.4802
angles: 90.00 90.00 120.00
Fractional positions:
Dy (0.0000, 0.4504, 0.0000)
Dy (0.4504, 0.0000, 0.0000)
Dy (0.5496, 0.5496, 0.0000)
Y (0.0000, 0.2582, 0.5000)
Y (0.2582, 0.0000, 0.5000)
Y (0.3333, 0.6667, 0.5000)
Y (0.6667, 0.3333, 0.5000)
Y (0.7418, 0.7418, 0.5000)
Ho (0.0000, 0.6245, 0.5000)
Ho (0.3755, 0.3755, 0.5000)
Ho (0.6245, 0.0000, 0.5000)

---

Material: DyY3Ho5
Method: DFT, GGA-PBE
State: optimized geometry

Properties
Formation energy, eV/atom: 0.3019
Space-group type: C2/c (15)
Density, g/cm³: 6.917
D(E_F), states/eV/f.u.: 12.9
Energy above the lowest structure with this stoichiometry, meV/atom: 239
M_tot, Bohr magnetons per cell: 0.0

abc: 9.6127 9.6127 11.3641
angles: 111.49 111.49 38.46
Fractional positions:
Dy (0.1324, 0.8676, 0.7500)
Dy (0.8676, 0.1324, 0.2500)
Y (0.0000, 0.0000, 0.0000)
Y (0.0000, 0.0000, 0.5000)
Y (0.0048, 0.6542, 0.1306)
Y (0.3458, 0.9952, 0.3694)
Y (0.6542, 0.0048, 0.6306)
Y (0.9952, 0.3458, 0.8694)
Ho (0.1315, 0.5332, 0.7883)
Ho (0.1496, 0.5300, 0.4891)
Ho (0.3928, 0.6072, 0.2500)
Ho (0.4668, 0.8685, 0.7117)
Ho (0.4700, 0.8504, 0.0109)
Ho (0.5300, 0.1496, 0.9891)
Ho (0.5332, 0.1315, 0.2883)
Ho (0.6072, 0.3928, 0.7500)
Ho (0.8504, 0.4700, 0.5109)
Ho (0.8685, 0.4668, 0.2117)